Below is a relaxed structure of TbTh2Sc7, with properties calculated at the PBE-GGA level.

Properties
crystal system	orthorhombic
volume	27.26	Å³ per atom
total energy	-6.17	eV per atom
D(E_F)	17.608	states/eV/cell
energy relative to the lowest polymorph listed for this composition	0.185	eV per atom

abc: 13.9176 13.9176 3.2701
angles: 90.00 90.00 154.51
Last column: nearest neighbours and their distance in Å.
Fractional positions:
Tb: 0.0000 0.0000 0.0000  2 Tb 3.27, 12 Sc 3.48-3.54
Th: 0.1999 0.8001 0.5000  8 Sc 3.12-3.49, 2 Th 3.27
Th: 0.8001 0.1999 0.5000  8 Sc 3.12-3.49, 2 Th 3.27
Sc: 0.1526 0.3533 0.5000  7 Sc 3.03-3.33, 1 Th 3.12
Sc: 0.3088 0.6912 0.0000  6 Sc 3.27-3.33, 6 Th 3.38-3.49
Sc: 0.3533 0.1526 0.5000  7 Sc 3.03-3.33, 1 Th 3.12
Sc: 0.5000 0.5000 0.5000  6 Sc 3.12-3.27, 4 Tb 3.48
Sc: 0.6467 0.8474 0.5000  7 Sc 3.03-3.33, 1 Th 3.12
Sc: 0.6912 0.3088 0.0000  6 Sc 3.27-3.33, 6 Th 3.38-3.49
Sc: 0.8474 0.6467 0.5000  7 Sc 3.03-3.33, 1 Th 3.12

***

Below is a relaxed structure of LiCd2In2Hg4, with properties calculated at the PBE-GGA level.

Properties
crystal system	monoclinic
volume	23.93	Å³ per atom
total energy	-1.23	eV per atom
D(E_F)	3.156	states/eV/cell

abc: 7.5109 7.5109 7.2592
angles: 107.39 107.39 33.61
Last column: nearest neighbours and their distance in Å.
Fractional positions:
Li: 0.0000 0.0000 0.0000  6 Hg 2.96-3.22, 4 Cd 3.25
Cd: 0.3319 0.3319 0.0014  5 Hg 3.09-3.26, 2 Cd 3.20, 2 Li 3.25, 3 In 3.25-3.38
Cd: 0.6681 0.6681 0.9986  5 Hg 3.09-3.26, 2 Cd 3.20, 2 Li 3.25, 3 In 3.25-3.38
In: 0.1132 0.1132 0.6476  7 Hg 3.16-3.29, 3 Cd 3.25-3.38, 1 In 3.29, 1 Li 3.43
In: 0.8868 0.8868 0.3524  7 Hg 3.16-3.29, 3 Cd 3.25-3.38, 1 In 3.29, 1 Li 3.43
Hg: 0.2138 0.2138 0.3179  3 Cd 3.09-3.26, 3 In 3.16-3.25, 1 Li 3.22, 4 Hg 3.25-3.33
Hg: 0.4586 0.4586 0.7094  2 Li 2.96, 2 Cd 3.09-3.20, 4 In 3.24-3.29, 2 Hg 3.25
Hg: 0.5414 0.5414 0.2906  2 Li 2.96, 2 Cd 3.09-3.20, 4 In 3.24-3.29, 2 Hg 3.25
Hg: 0.7862 0.7862 0.6821  3 Cd 3.09-3.26, 3 In 3.16-3.25, 1 Li 3.22, 4 Hg 3.25-3.33

***

Below is a relaxed structure of NiMo7, with properties calculated at the PBE-GGA level.

Properties
crystal system	cubic
volume	15.43	Å³ per atom
total energy	-9.93	eV per atom
D(E_F)	10.630	states/eV/cell

abc: 5.5888 5.5888 5.5888
angles: 60.00 60.00 60.00
Last column: nearest neighbours and their distance in Å.
Fractional positions:
Ni: 0.0000 0.0000 0.0000  12 Mo 2.79
Mo: 0.0000 0.0000 0.5000  10 Mo 2.79, 2 Ni 2.79
Mo: 0.0000 0.5000 0.0000  10 Mo 2.79, 2 Ni 2.79
Mo: 0.0000 0.5000 0.5000  10 Mo 2.79, 2 Ni 2.79
Mo: 0.5000 0.0000 0.0000  10 Mo 2.79, 2 Ni 2.79
Mo: 0.5000 0.0000 0.5000  10 Mo 2.79, 2 Ni 2.79
Mo: 0.5000 0.5000 0.0000  10 Mo 2.79, 2 Ni 2.79
Mo: 0.5000 0.5000 0.5000  12 Mo 2.79